Material: Ca2YCdS4
Method: DFT, GGA-PBE
State: optimized geometry

```
Ca2YCdS4
1.0
-3.322 1.468 -1.605
0.699 -4.423 -5.492
-3.680 -2.967 4.906
S Ca Cd Y
4 2 1 1
direct
0.500 0.253 0.240
0.000 0.256 0.755
0.000 0.744 0.245
0.500 0.747 0.760
0.500 0.000 0.500
0.000 0.500 0.500
0.000 0.000 0.000
0.500 0.500 0.000
```

## Properties
ΔE_f (raw): -1.66 eV per atom
DFT total energy: -5.1467 eV per atom
Symmetry: P2/m (10)


Material: HfH2WBr
Method: DFT, GGA-PBE
State: optimized geometry

```
HfH2WBr
1.0
-2.813 -2.260 -1.005
1.009 -3.526 5.105
-2.400 2.123 1.941
Hf W H Br
1 1 2 1
direct
0.000 0.500 0.000
0.500 0.500 0.500
0.500 0.000 0.000
0.000 0.000 0.500
0.000 0.000 0.000
```

## Properties
DFT total energy: -4.8462 eV per atom
Symmetry: P4/mmm (123)


Material: SbP2Cl
Method: DFT, GGA-PBE
State: optimized geometry

```
SbP2Cl
1.0
3.353 0.000 0.000
0.000 3.353 0.000
0.000 0.000 7.629
P Cl Sb
2 1 1
direct
0.000 0.000 0.121
0.500 0.500 0.183
0.500 0.500 0.727
0.000 0.000 0.470
```

## Properties
ΔE_f (raw): 0.13 eV per atom
DFT total energy: -4.0653 eV per atom
Symmetry: P4mm (99)


Material: Ac5Ge2RuN
Method: DFT, GGA-PBE
State: optimized geometry

```
Ac5Ge2RuN
1.0
4.591 0.000 0.000
-2.295 9.430 0.000
0.000 0.000 12.736
Ac Ru N Ge
10 2 2 4
direct
0.505 0.010 0.273
0.322 0.643 0.381
0.495 0.990 0.773
0.281 0.562 0.682
0.042 0.083 0.023
0.958 0.917 0.523
0.649 0.297 0.504
0.351 0.703 0.004
0.678 0.357 0.881
0.719 0.438 0.182
0.205 0.410 0.030
0.795 0.590 0.530
0.454 0.908 0.441
0.546 0.092 0.941
0.128 0.256 0.308
0.892 0.784 0.183
0.108 0.216 0.683
0.872 0.744 0.808
```

## Properties
ΔE_f (raw): -0.62 eV per atom
DFT total energy: -5.8858 eV per atom
Symmetry: Cmc2_1 (36)


Material: CrSiNi2
Method: DFT, GGA-PBE
State: optimized geometry

```
CrSiNi2
1.0
4.314 -0.009 0.016
3.544 2.460 0.016
0.775 0.242 4.243
Cr Si Ni
1 1 2
direct
0.250 0.250 0.250
0.750 0.750 0.750
0.006 0.006 0.000
0.494 0.494 0.500
```

## Properties
ΔE_f (raw): -0.20 eV per atom
DFT total energy: -6.8555 eV per atom
Symmetry: C2/m (12)


- The lowest DFT total energy belongs to which entry?
  CrSiNi2